(1)
# PBE TcMoAsPd2, optimized geometry
# - formation energy (eV per atom) = 0.933
# - crystal system = tetragonal
# - calculated density (Mg/m³) = 8.186
# - uncorrected energy (hartree per atom) = -0.2320
# - M_tot (μB per atom) = 0.6141
# - DOS at the Fermi energy (states/eV/cell) = 4.0
data_TcMoAsPd2
_chemical_formula_sum 'Tc1 Mo1 As1 Pd2'
_cell_length_a 4.5649
_cell_length_b 4.5649
_cell_length_c 4.6892
_cell_angle_alpha 90.00
_cell_angle_beta 90.00
_cell_angle_gamma 90.00
_space_group_name_H-M_alt 'P 4/m m m'
_space_group_IT_number 123
_space_group_name_Hall '-P 4 2'
loop_
_atom_site_label
_atom_site_type_symbol
_atom_site_fract_x
_atom_site_fract_y
_atom_site_fract_z
_atom_site_occupancy
Tc1 Tc 0.0000 0.0000 0.0000 1
Mo1 Mo 0.5000 0.5000 0.0000 1
As1 As 0.5000 0.5000 0.5000 1
Pd1 Pd 0.0000 0.5000 0.5000 1


(2)
# PBE PSeF2, optimized geometry
# - crystal system = tetragonal
# - uncorrected formation energy (eV per atom) = -0.49
# - E above lowest polymorph (eV per formula unit) = 1.92
# - calculated density (Mg/m³) = 4.453
# - uncorrected energy (hartree per atom) = -0.1340
# - M_tot (μB per atom) = 0.0000
# - DOS at the Fermi energy (states/eV/cell) = 7.6
data_PSeF2
_chemical_formula_sum 'P4 Se4 F8'
_cell_length_a 3.7429
_cell_length_b 3.7429
_cell_length_c 15.7505
_cell_angle_alpha 90.00
_cell_angle_beta 90.00
_cell_angle_gamma 90.00
_space_group_name_H-M_alt 'I -4 2 d'
_space_group_IT_number 122
_space_group_name_Hall 'I -4 2bw'
loop_
_atom_site_label
_atom_site_type_symbol
_atom_site_fract_x
_atom_site_fract_y
_atom_site_fract_z
_atom_site_occupancy
P1 P 0.0000 0.0000 0.0000 1
Se1 Se 0.0000 0.0000 0.5000 1
F1 F 0.2318 0.2500 0.1250 1


(3)
# PBE GaCu4Au2, optimized geometry
# - formation energy (eV per atom) = -0.026
# - crystal system = orthorhombic
# - E above lowest polymorph (eV per formula unit) = 0.00
# - calculated density (Mg/m³) = 11.414
# - uncorrected energy (hartree per atom) = -0.1373
# - M_tot (μB per atom) = 0.0000
# - DOS at the Fermi energy (states/eV/cell) = 4.4
data_GaCu4Au2
_chemical_formula_sum 'Ga2 Cu8 Au4'
_cell_length_a 7.0120
_cell_length_b 8.1056
_cell_length_c 3.6750
_cell_angle_alpha 90.00
_cell_angle_beta 90.00
_cell_angle_gamma 90.00
_space_group_name_H-M_alt 'C m m m'
_space_group_IT_number 65
_space_group_name_Hall '-C 2 2'
loop_
_atom_site_label
_atom_site_type_symbol
_atom_site_fract_x
_atom_site_fract_y
_atom_site_fract_z
_atom_site_occupancy
Ga1 Ga 0.0000 0.0000 0.0000 1
Cu1 Cu 0.0000 0.2247 0.5000 1
Cu2 Cu 0.2500 0.2500 0.0000 1
Au1 Au 0.2038 0.5000 0.5000 1


(4)
# PBE CePb4F10, optimized geometry
# - crystal system = tetragonal
# - uncorrected formation energy (eV per atom) = -2.63
# - calculated density (Mg/m³) = 7.099
# - uncorrected energy (hartree per atom) = -0.1933
# - M_tot (μB per atom) = 0.0882
# - DOS at the Fermi energy (states/eV/cell) = 29.0
data_CePb4F10
_chemical_formula_sum 'Ce2 Pb8 F20'
_cell_length_a 9.4695
_cell_length_b 9.4695
_cell_length_c 6.0461
_cell_angle_alpha 90.00
_cell_angle_beta 90.00
_cell_angle_gamma 90.00
_space_group_name_H-M_alt 'I 4/m'
_space_group_IT_number 87
_space_group_name_Hall '-I 4'
loop_
_atom_site_label
_atom_site_type_symbol
_atom_site_fract_x
_atom_site_fract_y
_atom_site_fract_z
_atom_site_occupancy
Ce1 Ce 0.0000 0.0000 0.0000 1
Pb1 Pb 0.0999 0.6982 0.5000 1
F1 F 0.0000 0.5000 0.2500 1
F2 F 0.0966 0.1896 0.2338 1


(5)
# PBE TbCePmSm, optimized geometry
# - formation energy (eV per atom) = 0.199
# - crystal system = cubic
# - calculated density (Mg/m³) = 7.398
# - uncorrected energy (hartree per atom) = -0.1767
# - M_tot (μB per atom) = 0.8019
# - DOS at the Fermi energy (states/eV/cell) = 42.0
data_TbCePmSm
_chemical_formula_sum 'Tb4 Ce4 Pm4 Sm4'
_cell_length_a 8.1112
_cell_length_b 8.1112
_cell_length_c 8.1112
_cell_angle_alpha 90.00
_cell_angle_beta 90.00
_cell_angle_gamma 90.00
_space_group_name_H-M_alt 'F -4 3 m'
_space_group_IT_number 216
_space_group_name_Hall 'F -4 2 3'
loop_
_atom_site_label
_atom_site_type_symbol
_atom_site_fract_x
_atom_site_fract_y
_atom_site_fract_z
_atom_site_occupancy
Tb1 Tb 0.0000 0.0000 0.0000 1
Ce1 Ce 0.0000 0.0000 0.5000 1
Pm1 Pm 0.2500 0.2500 0.7500 1
Sm1 Sm 0.2500 0.2500 0.2500 1


(6)
# PBE Pm4Nd11Sc9, optimized geometry
# - formation energy (eV per atom) = 0.115
# - crystal system = orthorhombic
# - calculated density (Mg/m³) = 5.726
# - uncorrected energy (hartree per atom) = -0.1924
# - M_tot (μB per atom) = 0.0000
# - DOS at the Fermi energy (states/eV/cell) = 65.1
data_Pm4Nd11Sc9
_chemical_formula_sum 'Pm8 Nd22 Sc18'
_cell_length_a 16.3683
_cell_length_b 24.9991
_cell_length_c 3.6444
_cell_angle_alpha 90.00
_cell_angle_beta 90.00
_cell_angle_gamma 90.00
_space_group_name_H-M_alt 'C m m m'
_space_group_IT_number 65
_space_group_name_Hall '-C 2 2'
loop_
_atom_site_label
_atom_site_type_symbol
_atom_site_fract_x
_atom_site_fract_y
_atom_site_fract_z
_atom_site_occupancy
Pm1 Pm 0.1576 0.0999 0.0000 1
Nd1 Nd 0.0000 0.1347 0.5000 1
Nd2 Nd 0.0000 0.3384 0.5000 1
Nd3 Nd 0.0000 0.5000 0.5000 1
Nd4 Nd 0.2203 0.0000 0.5000 1
Nd5 Nd 0.2204 0.3184 0.5000 1
Sc1 Sc 0.0000 0.0000 0.0000 1
Sc2 Sc 0.0996 0.2331 0.0000 1
Sc3 Sc 0.1351 0.4252 0.0000 1


(7)
# PBE CeGe2Bi2Pd7, optimized geometry
# - formation energy (eV per atom) = -0.425
# - crystal system = monoclinic
# - calculated density (Mg/m³) = 10.173
# - uncorrected energy (hartree per atom) = -0.1972
# - M_tot (μB per atom) = 0.0393
# - DOS at the Fermi energy (states/eV/cell) = 15.4
data_CeGe2Bi2Pd7
_chemical_formula_sum 'Ce2 Ge4 Bi4 Pd14'
_cell_length_a 5.8046
_cell_length_b 5.7552
_cell_length_c 14.2747
_cell_angle_alpha 90.00
_cell_angle_beta 97.49
_cell_angle_gamma 90.00
_space_group_name_H-M_alt 'C 1 2/m 1'
_space_group_IT_number 12
loop_
_space_group_symop_operation_xyz
'x,y,z'
'-x,-y,-z'
'-x,y,-z'
'x,-y,z'
'x+1/2,y+1/2,z'
'-x+1/2,-y+1/2,-z'
'-x+1/2,y+1/2,-z'
'x+1/2,-y+1/2,z'
loop_
_atom_site_label
_atom_site_type_symbol
_atom_site_fract_x
_atom_site_fract_y
_atom_site_fract_z
_atom_site_occupancy
Ce1 Ce 0.0000 0.0000 0.0000 1
Ge1 Ge 0.0835 0.5000 0.2572 1
Bi1 Bi 0.1234 0.0000 0.3792 1
Pd1 Pd 0.0000 0.5000 0.0000 1
Pd2 Pd 0.1568 0.5000 0.4328 1
Pd3 Pd 0.2010 0.2503 0.8485 1


(8)
# PBE V5TcW4, optimized geometry
# - formation energy (eV per atom) = -0.148
# - crystal system = tetragonal
# - calculated density (Mg/m³) = 12.459
# - uncorrected energy (hartree per atom) = -0.4015
# - M_tot (μB per atom) = 0.0000
# - DOS at the Fermi energy (states/eV/cell) = 8.0
data_V5TcW4
_chemical_formula_sum 'V5 Tc1 W4'
_cell_length_a 3.0702
_cell_length_b 3.0702
_cell_length_c 15.3854
_cell_angle_alpha 90.00
_cell_angle_beta 90.00
_cell_angle_gamma 90.00
_space_group_name_H-M_alt 'P 4/m m m'
_space_group_IT_number 123
_space_group_name_Hall '-P 4 2'
loop_
_atom_site_label
_atom_site_type_symbol
_atom_site_fract_x
_atom_site_fract_y
_atom_site_fract_z
_atom_site_occupancy
V1 V 0.0000 0.0000 0.0000 1
V2 V 0.0000 0.0000 0.2017 1
V3 V 0.0000 0.0000 0.4029 1
Tc1 Tc 0.5000 0.5000 0.5000 1
W1 W 0.5000 0.5000 0.1007 1
W2 W 0.5000 0.5000 0.3016 1


(9)
# PBE Ca2Zr3, optimized geometry
# - formation energy (eV per atom) = 0.289
# - crystal system = trigonal
# - E above lowest polymorph (eV per formula unit) = 0.00
# - calculated density (Mg/m³) = 4.257
# - uncorrected energy (hartree per atom) = -0.2073
# - M_tot (μB per atom) = 0.0001
# - DOS at the Fermi energy (states/eV/cell) = 12.8
data_Ca2Zr3
_chemical_formula_sum 'Ca6 Zr9'
_cell_length_a 3.3348
_cell_length_b 3.3348
_cell_length_c 42.9921
_cell_angle_alpha 90.00
_cell_angle_beta 90.00
_cell_angle_gamma 120.00
_space_group_name_H-M_alt 'R -3 m'
_space_group_IT_number 166
_space_group_name_Hall '-R 3 2"'
loop_
_atom_site_label
_atom_site_type_symbol
_atom_site_fract_x
_atom_site_fract_y
_atom_site_fract_z
_atom_site_occupancy
Ca1 Ca 0.0000 0.0000 0.0995 1
Zr1 Zr 0.0000 0.0000 0.3053 1
Zr2 Zr 0.0000 0.0000 0.5000 1


(10)
# PBE NdTaBrO4, optimized geometry
# - crystal system = monoclinic
# - uncorrected formation energy (eV per atom) = -2.60
# - calculated density (Mg/m³) = 5.312
# - uncorrected energy (hartree per atom) = -0.2955
# - M_tot (μB per atom) = 0.0000
data_NdTaBrO4
_chemical_formula_sum 'Nd4 Ta4 Br4 O16'
_cell_length_a 12.6585
_cell_length_b 6.6740
_cell_length_c 7.1611
_cell_angle_alpha 90.00
_cell_angle_beta 104.17
_cell_angle_gamma 90.00
_space_group_name_H-M_alt 'C 1 2/m 1'
_space_group_IT_number 12
loop_
_space_group_symop_operation_xyz
'x,y,z'
'-x,-y,-z'
'-x,y,-z'
'x,-y,z'
'x+1/2,y+1/2,z'
'-x+1/2,-y+1/2,-z'
'-x+1/2,y+1/2,-z'
'x+1/2,-y+1/2,z'
loop_
_atom_site_label
_atom_site_type_symbol
_atom_site_fract_x
_atom_site_fract_y
_atom_site_fract_z
_atom_site_occupancy
Nd1 Nd 0.2097 0.0000 0.3366 1
Ta1 Ta 0.1255 0.0000 0.7490 1
Br1 Br 0.0116 0.5000 0.1646 1
O1 O 0.0248 0.0000 0.2949 1
O2 O 0.1797 0.2135 0.6251 1
O3 O 0.1881 0.0000 0.0104 1


(11)
# PBE SmDy5Y2, optimized geometry
# - formation energy (eV per atom) = 0.018
# - crystal system = orthorhombic
# - E above lowest polymorph (eV per formula unit) = 0.00
# - calculated density (Mg/m³) = 7.421
# - uncorrected energy (hartree per atom) = -0.1861
# - M_tot (μB per atom) = 0.0000
# - DOS at the Fermi energy (states/eV/cell) = 19.3
data_SmDy5Y2
_chemical_formula_sum 'Sm2 Dy10 Y4'
_cell_length_a 7.1253
_cell_length_b 14.2525
_cell_length_c 5.0268
_cell_angle_alpha 90.00
_cell_angle_beta 90.00
_cell_angle_gamma 90.00
_space_group_name_H-M_alt 'P b a m'
_space_group_IT_number 55
loop_
_space_group_symop_operation_xyz
'x,y,z'
'-x,-y,-z'
'-x,-y,z'
'x,y,-z'
'x+1/2,-y+1/2,-z'
'-x+1/2,y+1/2,z'
'-x+1/2,y+1/2,-z'
'x+1/2,-y+1/2,z'
loop_
_atom_site_label
_atom_site_type_symbol
_atom_site_fract_x
_atom_site_fract_y
_atom_site_fract_z
_atom_site_occupancy
Sm1 Sm 0.0000 0.0000 0.0000 1
Dy1 Dy 0.0000 0.5000 0.0000 1
Dy2 Dy 0.0008 0.2506 0.0000 1
Dy3 Dy 0.2491 0.6254 0.5000 1
Y1 Y 0.2503 0.3745 0.5000 1


(12)
# PBE Ni2RhAu, optimized geometry
# - formation energy (eV per atom) = 0.173
# - crystal system = tetragonal
# - calculated density (Mg/m³) = 12.715
# - uncorrected energy (hartree per atom) = -0.1975
# - M_tot (μB per atom) = 0.3468
# - DOS at the Fermi energy (states/eV/cell) = 7.0
data_Ni2RhAu
_chemical_formula_sum 'Ni2 Rh1 Au1'
_cell_length_a 4.4195
_cell_length_b 4.4195
_cell_length_c 2.7898
_cell_angle_alpha 90.00
_cell_angle_beta 90.00
_cell_angle_gamma 90.00
_space_group_name_H-M_alt 'P 4/m m m'
_space_group_IT_number 123
_space_group_name_Hall '-P 4 2'
loop_
_atom_site_label
_atom_site_type_symbol
_atom_site_fract_x
_atom_site_fract_y
_atom_site_fract_z
_atom_site_occupancy
Ni1 Ni 0.0000 0.5000 0.0000 1
Rh1 Rh 0.0000 0.0000 0.5000 1
Au1 Au 0.5000 0.5000 0.5000 1